# 1
Compound: KTaZn
Source: Alexandria via LeMat-Bulk
Functional: PBE
Structure: relaxed

Cell lengths 8.1542, 4.0167, 5.6226 Å; angles 90.00, 81.87, 90.00 degrees
With the nearest neighbours (Å) after each atom.
Fractional positions:
1 Ta 0.0835 0.2500 0.3803  2 Ta 2.68, 4 Zn 2.69-2.96
2 Ta 0.9165 0.7500 0.6197  2 Ta 2.68, 4 Zn 2.69-2.96
3 Zn 0.9722 0.7500 0.1281  2 Zn 2.48, 3 Ta 2.69-2.74
4 Zn 0.0278 0.2500 0.8719  2 Zn 2.48, 3 Ta 2.69-2.74
5 K 0.3591 0.7500 0.7785  3 Zn 3.35-3.47
6 K 0.6409 0.2500 0.2215  3 Zn 3.35-3.47

Energy relative to the lowest polymorph listed for this composition   1.10 eV per formula unit
Formation energy   0.660 eV/atom
V   30.38 Å³ per atom

=====

# 2
Compound: K2TaZn
Source: Alexandria via LeMat-Bulk
Functional: PBE
Structure: relaxed

Cell lengths 11.9505, 11.9505, 8.8350 Å; angles 47.44, 47.44, 90.00 degrees
With the nearest neighbours (Å) after each atom.
Fractional positions:
1 K 0.2688 0.6250 0.2500  2 Zn 3.31
2 K 0.4812 0.1250 0.2500  2 Zn 3.31
3 K 0.3750 0.5188 0.7500  2 Zn 3.31
4 K 0.8750 0.7312 0.7500  2 Zn 3.31
5 Zn 0.5000 0.5000 0.0000  2 Ta 2.58
6 Zn 0.2500 0.7500 0.5000  2 Ta 2.58
7 Ta 0.0000 0.0000 0.0000  2 Zn 2.58
8 Ta 0.7500 0.2500 0.5000  2 Zn 2.58

Formation energy   1.341 eV/atom
V   46.03 Å³ per atom

=====

# 3
Compound: K2TaZn
Source: Alexandria via LeMat-Bulk
Functional: PBE
Structure: relaxed

Cell lengths 6.6738, 6.6738, 6.6738 Å; angles 143.81, 143.81, 52.11 degrees
With the nearest neighbours (Å) after each atom.
Fractional positions:
1 Zn 0.7500 0.2500 0.5000  4 Ta 2.93
2 K 0.0000 0.0000 0.0000  4 K 2.93
3 K 0.5000 0.5000 0.0000  4 K 2.93
4 Ta 0.2500 0.7500 0.5000  4 Zn 2.93

Formation energy   1.234 eV/atom
V   25.76 Å³ per atom

=====

# 4
Compound: KTaZn
Source: Alexandria via LeMat-Bulk
Functional: PBE
Structure: relaxed

Cell lengths 13.2604, 5.0455, 5.0351 Å; angles 90.00, 90.00, 90.00 degrees
With the nearest neighbours (Å) after each atom.
Fractional positions:
1 K 0.7320 0.7500 0.4983  2 Zn 3.32, 4 K 3.60, 1 Ta 3.61
2 K 0.2320 0.7500 0.0017  2 Zn 3.32, 4 K 3.60, 1 Ta 3.61
3 K 0.7680 0.2500 0.9983  2 Zn 3.32, 4 K 3.60, 1 Ta 3.61
4 K 0.2680 0.2500 0.5017  2 Zn 3.32, 4 K 3.60, 1 Ta 3.61
5 Zn 0.5000 0.5000 0.5000  2 Zn 2.52, 4 Ta 2.82
6 Zn 0.0000 0.0000 0.0000  2 Zn 2.52, 4 Ta 2.82
7 Zn 0.0000 0.5000 0.0000  2 Zn 2.52, 4 Ta 2.82
8 Zn 0.5000 0.0000 0.5000  2 Zn 2.52, 4 Ta 2.82
9 Ta 0.4956 0.2500 0.0000  2 Ta 2.53, 4 Zn 2.82
10 Ta 0.5044 0.7500 0.0000  2 Ta 2.53, 4 Zn 2.82
11 Ta 0.9956 0.2500 0.5000  2 Ta 2.53, 4 Zn 2.82
12 Ta 0.0044 0.7500 0.5000  2 Ta 2.53, 4 Zn 2.82

Energy relative to the lowest polymorph listed for this composition   1.08 eV per formula unit
Formation energy   0.654 eV/atom
V   28.07 Å³ per atom